A plane-wave DFT calculation with PBE was carried out for an optimized crystal structure of Ru3PtS.

a = 4.8484 Å, b = 4.8484 Å, c = 4.8484 Å
α = 90.00°, β = 90.00°, γ = 90.00°
Closest atoms and distances in Å follow each position.
Fractional coordinates of all 5 atoms:
Ru (0.0000, 0.5000, 0.0000)  2 Pt 2.42
Ru (0.0000, 0.0000, 0.5000)  2 Pt 2.42
Ru (0.5000, 0.0000, 0.0000)  2 Pt 2.42
S (0.5000, 0.5000, 0.5000)  12 Ru 3.43
Pt (0.0000, 0.0000, 0.0000)  6 Ru 2.42

Energy above the most stable polymorph in this dataset   1.463 eV per atom
Formation energy (no corrections)   2.0395 eV/atom